[1]
A geometry-optimized PrNdSm5Dy2 structure, computed with PBE.

a b c (Å): 10.087 10.087 10.087
angles (deg): 128.33 128.33 76.10
Fractional coordinates of all 18 atoms:
Pr 0.250 0.250 0.000
Pr 0.750 0.750 0.000
Nd 0.250 0.750 0.500
Nd 0.750 0.250 0.500
Sm 0.000 0.000 0.000
Sm 0.065 0.565 0.899
Sm 0.166 0.065 0.500
Sm 0.334 0.834 0.899
Sm 0.435 0.334 0.500
Sm 0.500 0.500 0.000
Sm 0.565 0.666 0.500
Sm 0.666 0.166 0.101
Sm 0.834 0.935 0.500
Sm 0.935 0.435 0.101
Dy 0.119 0.381 0.500
Dy 0.381 0.881 0.262
Dy 0.619 0.119 0.738
Dy 0.881 0.619 0.500

***

[2]
A geometry-optimized PrNd5SmDy2 structure, computed with PBE.

a b c (Å): 10.670 10.670 10.681
angles (deg): 90.00 90.00 148.76
Fractional coordinates of all 18 atoms:
Pr 0.087 0.913 0.500
Pr 0.913 0.087 0.000
Nd 0.023 0.977 0.791
Nd 0.110 0.890 0.076
Nd 0.203 0.797 0.756
Nd 0.220 0.780 0.362
Nd 0.484 0.516 0.073
Nd 0.516 0.484 0.573
Nd 0.780 0.220 0.862
Nd 0.797 0.203 0.256
Nd 0.890 0.110 0.576
Nd 0.977 0.023 0.291
Sm 0.300 0.700 0.061
Sm 0.700 0.300 0.561
Dy 0.383 0.617 0.373
Dy 0.387 0.613 0.783
Dy 0.613 0.387 0.283
Dy 0.617 0.383 0.873

***

[3]
A geometry-optimized PrNd2SmDy structure, computed with PBE.

a b c (Å): 8.379 6.716 6.301
angles (deg): 90.00 92.10 90.00
Fractional coordinates of all 10 atoms:
Pr 0.000 0.000 0.000
Pr 0.000 0.000 0.500
Nd 0.308 0.308 0.237
Nd 0.308 0.692 0.737
Nd 0.692 0.308 0.263
Nd 0.692 0.692 0.763
Sm 0.000 0.429 0.750
Sm 0.000 0.571 0.250
Dy 0.500 0.160 0.750
Dy 0.500 0.840 0.250

***

[4]
A geometry-optimized Pr6NdSm2Dy3 structure, computed with PBE.

a b c (Å): 6.350 6.350 12.025
angles (deg): 95.04 95.04 120.02
Fractional coordinates of all 12 atoms:
Pr 0.084 0.418 0.753
Pr 0.249 0.249 0.247
Pr 0.418 0.084 0.753
Pr 0.582 0.916 0.247
Pr 0.751 0.751 0.753
Pr 0.916 0.582 0.247
Nd 0.000 0.000 0.500
Sm 0.333 0.667 0.500
Sm 0.667 0.333 0.500
Dy 0.167 0.833 0.000
Dy 0.500 0.500 0.000
Dy 0.833 0.167 0.000

***

[5]
A geometry-optimized Pr4NdSm2Dy structure, computed with PBE.

a b c (Å): 5.187 5.208 10.323
angles (deg): 90.00 90.09 90.00
Fractional coordinates of all 8 atoms:
Pr 0.000 0.000 0.248
Pr 0.000 0.000 0.752
Pr 0.500 0.500 0.248
Pr 0.500 0.500 0.752
Nd 0.000 0.500 0.500
Sm 0.000 0.500 0.000
Sm 0.500 0.000 0.500
Dy 0.500 0.000 0.000

***

[6]
A geometry-optimized PrNd4Sm2Dy structure, computed with PBE.

a b c (Å): 6.321 3.664 12.125
angles (deg): 90.00 100.28 90.00
Fractional coordinates of all 8 atoms:
Pr 0.000 0.000 0.000
Nd 0.250 0.000 0.747
Nd 0.251 0.500 0.253
Nd 0.749 0.500 0.747
Nd 0.750 0.000 0.253
Sm 0.500 0.000 0.500
Sm 0.500 0.500 0.000
Dy 0.000 0.500 0.500

***

[7]
A geometry-optimized PrNdSm6Dy2 structure, computed with PBE.

a b c (Å): 8.924 8.924 9.717
angles (deg): 93.76 93.76 117.33
Fractional coordinates of all 20 atoms:
Pr 0.029 0.971 0.750
Pr 0.971 0.029 0.250
Nd 0.407 0.593 0.250
Nd 0.593 0.407 0.750
Sm 0.018 0.564 0.681
Sm 0.114 0.754 0.056
Sm 0.246 0.886 0.444
Sm 0.295 0.513 0.881
Sm 0.436 0.982 0.819
Sm 0.487 0.705 0.619
Sm 0.513 0.295 0.381
Sm 0.564 0.018 0.181
Sm 0.705 0.487 0.119
Sm 0.754 0.114 0.556
Sm 0.886 0.246 0.944
Sm 0.982 0.436 0.319
Dy 0.198 0.297 0.547
Dy 0.297 0.198 0.047
Dy 0.703 0.802 0.953
Dy 0.802 0.703 0.453

***

[8]
A geometry-optimized PrNd3SmDy structure, computed with PBE.

a b c (Å): 10.730 10.730 6.910
angles (deg): 90.58 90.58 31.66
Fractional coordinates of all 12 atoms:
Pr 0.146 0.146 0.024
Pr 0.854 0.854 0.976
Nd 0.018 0.018 0.747
Nd 0.281 0.281 0.743
Nd 0.339 0.339 0.256
Nd 0.661 0.661 0.744
Nd 0.719 0.719 0.257
Nd 0.982 0.982 0.253
Sm 0.443 0.443 0.739
Sm 0.557 0.557 0.261
Dy 0.145 0.145 0.473
Dy 0.855 0.855 0.527

***

[9]
A geometry-optimized PrNd2SmDy5 structure, computed with PBE.

a b c (Å): 9.970 9.970 9.970
angles (deg): 127.91 127.91 76.77
Fractional coordinates of all 18 atoms:
Pr 0.250 0.250 0.000
Pr 0.750 0.750 0.000
Nd 0.118 0.618 0.735
Nd 0.382 0.118 0.500
Nd 0.618 0.882 0.500
Nd 0.882 0.382 0.265
Sm 0.250 0.750 0.500
Sm 0.750 0.250 0.500
Dy 0.000 0.000 0.000
Dy 0.072 0.154 0.500
Dy 0.154 0.654 0.082
Dy 0.346 0.428 0.500
Dy 0.428 0.928 0.082
Dy 0.500 0.500 0.000
Dy 0.572 0.072 0.918
Dy 0.654 0.572 0.500
Dy 0.846 0.346 0.918
Dy 0.928 0.846 0.500

***

[10]
A geometry-optimized Pr6Nd2Sm3Dy structure, computed with PBE.

a b c (Å): 6.374 6.374 12.140
angles (deg): 95.03 95.03 120.01
Fractional coordinates of all 12 atoms:
Pr 0.083 0.416 0.750
Pr 0.249 0.249 0.249
Pr 0.416 0.083 0.750
Pr 0.584 0.917 0.250
Pr 0.751 0.751 0.751
Pr 0.917 0.584 0.250
Nd 0.333 0.667 0.500
Nd 0.667 0.333 0.500
Sm 0.167 0.833 0.000
Sm 0.500 0.500 0.000
Sm 0.833 0.167 0.000
Dy 0.000 0.000 0.500

***

[11]
A geometry-optimized Pr2NdSm2Dy4 structure, computed with PBE.

a b c (Å): 9.636 9.636 9.687
angles (deg): 115.24 115.24 21.83
Fractional coordinates of all 9 atoms:
Pr 0.166 0.166 0.001
Pr 0.834 0.834 0.999
Nd 0.500 0.500 0.000
Sm 0.353 0.353 0.337
Sm 0.647 0.647 0.663
Dy 0.020 0.020 0.335
Dy 0.314 0.314 0.663
Dy 0.686 0.686 0.337
Dy 0.980 0.980 0.665

***

[12]
A geometry-optimized Pr2NdSmDy4 structure, computed with PBE.

a b c (Å): 6.288 3.628 11.641
angles (deg): 90.00 90.01 90.00
Fractional coordinates of all 8 atoms:
Pr 0.000 0.000 0.000
Pr 0.500 0.500 0.500
Nd 0.000 0.000 0.500
Sm 0.500 0.500 0.000
Dy 0.167 0.500 0.751
Dy 0.333 0.000 0.249
Dy 0.667 0.000 0.751
Dy 0.833 0.500 0.249

***

| no. | energy of formation from the pure elements (kcal/mol of atoms) | calculated volume (Å³/cell) | M_tot (μB/f.u.) |
| --- | --- | --- | --- |
| 1 | 6.38 | 614.1 | 0.000 |
| 2 | 3.36 | 630.6 | 0.000 |
| 3 | 6.07 | 354.3 | 0.000 |
| 4 | 0.29 | 413.3 | 0.000 |
| 5 | 0.29 | 278.9 | 0.000 |
| 6 | 0.36 | 276.3 | 0.000 |
| 7 | 2.71 | 682.0 | 0.000 |
| 8 | 3.88 | 417.5 | 0.000 |
| 9 | 5.82 | 599.0 | 0.000 |
| 10 | 0.28 | 420.5 | 0.000 |
| 11 | 0.02 | 301.2 | 0.000 |
| 12 | -0.01 | 265.5 | 0.000 |